Material: Na3U3TcN8
Method: DFT, PBE
State: relaxed

Output
* formation energy from raw total energies: -0.777 eV/atom

a = 6.8896 Å, b = 6.8896 Å, c = 6.8896 Å
α = 58.85°, β = 58.85°, γ = 58.85°
Positions (direct):
Na 0.0000 0.5000 0.5000
Na 0.5000 0.0000 0.5000
Na 0.5000 0.5000 0.0000
U 0.0000 0.0000 0.5000
U 0.0000 0.5000 0.0000
U 0.5000 0.0000 0.0000
Tc 0.5000 0.5000 0.5000
N 0.2254 0.7247 0.7247
N 0.2300 0.2300 0.2300
N 0.2753 0.2753 0.7746
N 0.2753 0.7746 0.2753
N 0.7247 0.2254 0.7247
N 0.7247 0.7247 0.2254
N 0.7700 0.7700 0.7700
N 0.7746 0.2753 0.2753